Entry 1:
# MnCoTcGeSe

MnCoTcGeSe after structural relaxation (PBE, Alexandria).

The structure belongs to space group Cm (No. 8); the cell edges are 6.936, 4.126 and 5.450 Å and the angles 90.00°, 94.97° and 90.00°. The distinct sites, in fractional coordinates, are Mn at (0.000, 0.000, 0.000), Co at (0.220, 0.500, 0.661), Tc at (0.330, 0.000, 0.947), Ge at (0.181, 0.500, 0.200) and Se at (0.058, 0.000, 0.579).

As for the energy above the lowest structure with this stoichiometry: 82 meV per atom. The calculation puts the density of states at the Fermi level at 4.11 states/eV/f.u. The calculation puts the formation energy (no corrections) at 11 kJ per mole of atoms.

---

Entry 2:
# MnCoTcGeSe

MnCoTcGeSe after structural relaxation (PBE, Alexandria).

The structure belongs to space group Cm (No. 8); the cell edges are 8.198, 3.184 and 6.631 Å and the angles 90.00°, 117.26° and 90.00°. The distinct sites, in fractional coordinates, are Mn at (0.000, 0.000, 0.000), Co at (0.321, 0.000, 0.713), Tc at (0.326, 0.000, 0.124), Ge at (0.130, 0.500, 0.787) and Se at (0.205, 0.500, 0.367).

As for the energy above the lowest structure with this stoichiometry: 62 meV per atom. The calculation puts the density of states at the Fermi level at 4.37 states/eV/f.u. The calculation puts the formation energy (no corrections) at 9 kJ per mole of atoms.

---

Entry 3:
# MnCoTcGeSe

MnCoTcGeSe after structural relaxation (PBE, Alexandria).

The structure belongs to space group R3m (No. 160, hexagonal axes); the cell edges are 3.8314, 3.8314 and 17.4606 Å and the angles 90.00°, 90.00° and 120.00°. The distinct sites, in fractional coordinates, are Mn at (0.0000, 0.0000, 0.0000), Co at (0.0000, 0.0000, 0.8621), Tc at (0.0000, 0.0000, 0.7092), Ge at (0.0000, 0.0000, 0.2658) and Se at (0.0000, 0.0000, 0.4692).

As for the energy above the lowest structure with this stoichiometry: 84 meV per atom. The calculation puts the density of states at the Fermi level at 3.21 states/eV/f.u. The calculation puts the formation energy (no corrections) at 11 kJ per mole of atoms.

---

Entry 4:
# MnCoTcGeSe

MnCoTcGeSe after structural relaxation (PBE, Alexandria).

The structure belongs to space group Cm (No. 8); the cell edges are 8.151, 2.999 and 6.891 Å and the angles 90.00°, 117.68° and 90.00°. The distinct sites, in fractional coordinates, are Mn at (0.000, 0.000, 0.000), Co at (0.076, 0.500, 0.347), Tc at (0.140, 0.500, 0.813), Ge at (0.292, 0.000, 0.633) and Se at (0.310, 0.500, 0.220).

As for the energy above the lowest structure with this stoichiometry: 77 meV per atom. The calculation puts the density of states at the Fermi level at 3.39 states/eV/f.u. The calculation puts the formation energy (no corrections) at 10 kJ per mole of atoms.

---

Entry 5:
# MnCoTcGeSe

MnCoTcGeSe after structural relaxation (PBE, Alexandria).

The structure belongs to space group Pm (No. 6); the cell edges are 2.824, 3.633 and 7.060 Å and the angles 90.00°, 90.02° and 90.00°. The distinct sites, in fractional coordinates, are Mn at (0.000, 0.000, 0.000), Co at (0.483, 0.500, 0.502), Tc at (0.465, 0.500, 0.859), Ge at (0.982, 0.000, 0.638) and Se at (0.982, 0.500, 0.227).

As for the energy above the lowest structure with this stoichiometry: 13 meV per atom. The calculation puts the density of states at the Fermi level at 3.41 states/eV/f.u. The calculation puts the formation energy (no corrections) at 4 kJ per mole of atoms.

---

Entry 6:
# MnCoSiGe

MnCoSiGe after structural relaxation (PBE, Alexandria).

The structure belongs to space group F-43m (No. 216); the cell edges are 5.693, 5.693 and 5.693 Å and the angles 90.00°, 90.00° and 90.00°. The distinct sites, in fractional coordinates, are Mn at (0.000, 0.000, 0.000), Co at (0.000, 0.000, 0.500), Si at (0.250, 0.250, 0.250) and Ge at (0.250, 0.250, 0.750).

The calculation puts the density of states at the Fermi level at 1.82 states/eV/f.u. The calculation puts the formation energy (no corrections) at -17 kJ per mole of atoms.

---

Entry 7:
# Mn2Co2SiGe

Mn2Co2SiGe after structural relaxation (PBE, Alexandria).

The structure belongs to space group Pmc2_1 (No. 26); the cell edges are 3.712, 6.978 and 5.774 Å and the angles 90.00°, 90.00° and 90.00°. The distinct sites, in fractional coordinates, are Mn at (0.000, 0.061, 0.000), Mn at (0.500, 0.430, 0.940), Co at (0.000, 0.301, 0.640), Co at (0.500, 0.184, 0.323), Si at (0.500, 0.124, 0.709) and Ge at (0.000, 0.372, 0.238).

The calculation puts the density of states at the Fermi level at 2.97 states/eV/f.u. The calculation puts the formation energy (no corrections) at -31 kJ per mole of atoms.

---

Entry 8:
# Mn4Co4Si3Ge

Mn4Co4Si3Ge after structural relaxation (PBE, Alexandria).

The structure belongs to space group Pm (No. 6); the cell edges are 5.747, 3.680 and 6.921 Å and the angles 90.00°, 90.34° and 90.00°. The distinct sites, in fractional coordinates, are Mn at (0.000, 0.000, 0.000), Mn at (0.054, 0.500, 0.361), Mn at (0.503, 0.000, 0.872), Mn at (0.566, 0.500, 0.497), Co at (0.181, 0.500, 0.749), Co at (0.373, 0.000, 0.235), Co at (0.686, 0.500, 0.123), Co at (0.862, 0.000, 0.625), Si at (0.294, 0.500, 0.059), Si at (0.763, 0.000, 0.304), Si at (0.794, 0.500, 0.809) and Ge at (0.265, 0.000, 0.559).

The calculation puts the density of states at the Fermi level at 6.88 states/eV/f.u. The calculation puts the formation energy (no corrections) at -37 kJ per mole of atoms.

---

Entry 9:
# SmMnCoGe3

SmMnCoGe3 after structural relaxation (PBE, Alexandria).

The structure belongs to space group Cmcm (No. 63); the cell edges are 7.234, 10.809 and 5.725 Å and the angles 90.00°, 90.00° and 90.00°. The distinct sites, in fractional coordinates, are Sm at (0.000, 0.246, 0.250), Mn at (0.000, 0.449, 0.750), Co at (0.000, 0.039, 0.750), Ge at (0.000, 0.244, 0.750) and Ge at (0.249, 0.000, 0.000).

The formation energy comes out at -0.211 eV per atom. The calculation puts the density of states at the Fermi level at 4.07 states/eV/f.u.

---

Entry 10:
# TbMnCoGe3

TbMnCoGe3 after structural relaxation (PBE, Alexandria).

The structure belongs to space group Cmcm (No. 63); the cell edges are 7.349, 10.663 and 5.634 Å and the angles 90.00°, 90.00° and 90.00°. The distinct sites, in fractional coordinates, are Tb at (0.000, 0.246, 0.250), Mn at (0.000, 0.451, 0.750), Co at (0.000, 0.035, 0.750), Ge at (0.000, 0.242, 0.750) and Ge at (0.250, 0.000, 0.000).

The formation energy comes out at -0.182 eV per atom. The calculation puts the density of states at the Fermi level at 3.84 states/eV/f.u.

---

Entry 11:
# TbMnCoGe2

TbMnCoGe2 after structural relaxation (PBE, Alexandria).

The structure belongs to space group I-4m2 (No. 119); the cell edges are 3.979, 3.979 and 10.469 Å and the angles 90.00°, 90.00° and 90.00°. The distinct sites, in fractional coordinates, are Tb at (0.000, 0.000, 0.000), Mn at (0.000, 0.500, 0.750), Co at (0.000, 0.500, 0.250) and Ge at (0.000, 0.000, 0.378).

The formation energy comes out at -0.527 eV per atom. The calculation puts the density of states at the Fermi level at 3.96 states/eV/f.u.

---

Entry 12:
# TmMnCoGe3

TmMnCoGe3 after structural relaxation (PBE, Alexandria).

The structure belongs to space group Cmcm (No. 63); the cell edges are 7.438, 10.529 and 5.565 Å and the angles 90.00°, 90.00° and 90.00°. The distinct sites, in fractional coordinates, are Tm at (0.000, 0.249, 0.250), Mn at (0.000, 0.452, 0.750), Co at (0.000, 0.030, 0.750), Ge at (0.000, 0.240, 0.750) and Ge at (0.250, 0.000, 0.000).

The formation energy comes out at -0.136 eV per atom. The calculation puts the density of states at the Fermi level at 3.74 states/eV/f.u.